(1)
# TaGaPt (PBE, relaxed)
# **Space-group type**: F-43m (216)
# **Crystal system**: cubic
data_TaGaPt
_cell_length_a 4.282
_cell_length_b 4.282
_cell_length_c 4.282
_cell_angle_alpha 60.00
_cell_angle_beta 60.00
_cell_angle_gamma 60.00
_space_group_name_H-M_alt 'P 1'
_space_group_IT_number 1
_space_group_name_Hall 'P 1'
loop_
_atom_site_label
_atom_site_type_symbol
_atom_site_fract_x
_atom_site_fract_y
_atom_site_fract_z
Ta1 Ta 0.000 0.000 0.000
Ga1 Ga 0.500 0.500 0.500
Pt1 Pt 0.750 0.750 0.750



(2)
# Tb2Ga3Pt4 (PBE, relaxed)
# **Space-group type**: Cmce (64)
# **Crystal system**: orthorhombic
data_Tb2Ga3Pt4
_cell_length_a 8.182
_cell_length_b 8.182
_cell_length_c 7.604
_cell_angle_alpha 90.00
_cell_angle_beta 90.00
_cell_angle_gamma 139.77
_space_group_name_H-M_alt 'P 1'
_space_group_IT_number 1
_space_group_name_Hall 'P 1'
loop_
_atom_site_label
_atom_site_type_symbol
_atom_site_fract_x
_atom_site_fract_y
_atom_site_fract_z
Tb1 Tb 0.107 0.893 0.909
Tb2 Tb 0.393 0.607 0.409
Tb3 Tb 0.607 0.393 0.591
Tb4 Tb 0.893 0.107 0.091
Ga1 Ga 0.000 0.000 0.500
Ga2 Ga 0.020 0.480 0.750
Ga3 Ga 0.480 0.020 0.250
Ga4 Ga 0.500 0.500 0.000
Ga5 Ga 0.520 0.980 0.750
Ga6 Ga 0.980 0.520 0.250
Pt1 Pt 0.181 0.819 0.525
Pt2 Pt 0.190 0.310 0.750
Pt3 Pt 0.310 0.190 0.250
Pt4 Pt 0.319 0.681 0.025
Pt5 Pt 0.681 0.319 0.975
Pt6 Pt 0.690 0.810 0.750
Pt7 Pt 0.810 0.690 0.250
Pt8 Pt 0.819 0.181 0.475



(3)
# TbGa2Pt2 (PBE, relaxed)
# **Space-group type**: I4/mmm (139)
# **Crystal system**: tetragonal
data_TbGa2Pt2
_cell_length_a 6.581
_cell_length_b 6.581
_cell_length_c 6.581
_cell_angle_alpha 144.61
_cell_angle_beta 144.61
_cell_angle_gamma 50.92
_space_group_name_H-M_alt 'P 1'
_space_group_IT_number 1
_space_group_name_Hall 'P 1'
loop_
_atom_site_label
_atom_site_type_symbol
_atom_site_fract_x
_atom_site_fract_y
_atom_site_fract_z
Tb1 Tb 0.000 0.000 0.000
Ga1 Ga 0.250 0.750 0.500
Ga2 Ga 0.750 0.250 0.500
Pt1 Pt 0.386 0.386 0.000
Pt2 Pt 0.614 0.614 0.000



(4)
# TbTmGa2Pt4 (PBE, relaxed)
# **Space-group type**: P-6m2 (187)
# **Crystal system**: hexagonal
data_TbTmGa2Pt4
_cell_length_a 4.381
_cell_length_b 4.381
_cell_length_c 9.076
_cell_angle_alpha 90.00
_cell_angle_beta 90.00
_cell_angle_gamma 120.00
_space_group_name_H-M_alt 'P 1'
_space_group_IT_number 1
_space_group_name_Hall 'P 1'
loop_
_atom_site_label
_atom_site_type_symbol
_atom_site_fract_x
_atom_site_fract_y
_atom_site_fract_z
Tb1 Tb 0.000 0.000 0.000
Tm1 Tm 0.667 0.333 0.500
Ga1 Ga 0.333 0.667 0.251
Ga2 Ga 0.333 0.667 0.749
Pt1 Pt 0.000 0.000 0.339
Pt2 Pt 0.000 0.000 0.661
Pt3 Pt 0.667 0.333 0.167
Pt4 Pt 0.667 0.333 0.833



Number 1: energy -22.7 eV for the cell shown. Number 2: energy -103.5 eV for the cell shown. Number 3: energy -27.4 eV for the cell shown. Number 4: energy -48.0 eV for the cell shown.